# 1
Density functional theory data (GGA-PBE) for NaPO after structural relaxation.

Results
The relative energy among the computed polymorphs comes out at 277 meV per atom. For the uncorrected formation energy, the calculation gives -0.3192 eV/atom.

abc: 6.285 9.206 3.040
angles: 90.00 90.00 90.00
Space group Imma (No. 74)
Asymmetric unit:
Na: 0.000 0.000 0.000 x4
P: 0.250 0.250 0.250 x4
O: 0.000 0.250 0.759 x4

***

# 2
Density functional theory data (GGA-PBE) for NaCd3Pt3 after structural relaxation.

Results
As for the calculated formation energy: 1.883 eV per formula unit.

abc: 7.467 7.467 7.467
angles: 90.00 90.00 90.00
Space group Pm-3n (No. 223)
Asymmetric unit:
Na: 0.000 0.000 0.000 x2
Cd: 0.000 0.250 0.500 x6
Pt: 0.000 0.500 0.250 x6

***

# 3
Density functional theory data (GGA-PBE) for NaAlRe3 after structural relaxation.

Results
As for the calculated formation energy: 9.932 eV per formula unit. The relative energy among the computed polymorphs comes out at 0 meV per atom.

abc: 4.559 4.559 4.559
angles: 90.00 90.00 90.00
Space group Pm-3m (No. 221)
Asymmetric unit:
Na: 0.000 0.000 0.000 x1
Al: 0.500 0.500 0.500 x1
Re: 0.000 0.500 0.500 x3

***

# 4
Density functional theory data (GGA-PBE) for TcAg after structural relaxation.

Results
As for the calculated formation energy: 0.363 eV per formula unit. The relative energy among the computed polymorphs comes out at 9 meV per atom.

abc: 2.8050 2.8050 9.4793
angles: 90.00 90.00 120.00
Space group P3m1 (No. 156)
Asymmetric unit:
Tc: 0.0000 0.0000 0.0000 x1
Tc: 0.3333 0.6667 0.7877 x1
Ag: 0.3333 0.6667 0.2595 x1
Ag: 0.6667 0.3333 0.5238 x1

***

Computed DOS at the Fermi energy (states/eV/atom) in order:
0.238 0.218 1.921 0.628
Computed calculated total energy (eV per atom) in order:
-4.215 -2.901 -6.495 -6.427